VASP calculation (PBE) on a relaxed Ta2CdIr crystal.

Summary:
E_form: 0.011 eV per formula unit
Space-group type: Cm (8)
Total DFT energy (no corrections): -8.3675 eV per atom

Unit cell a=5.1523 b=5.1523 c=5.0102 alpha=75.15 beta=75.15 gamma=33.66
Fractional positions:
Ta: 0.9897 0.9897 0.0049
Cd: 0.5076 0.5076 0.4905
Ta: 0.7378 0.7378 0.7617
Ir: 0.2649 0.2649 0.2429